{
  "formula": "KRuAuI6",
  "functional": "PBE",
  "state": "relaxed",
  "lattice_angstrom": [[7.238, 0.000, 0.000], [-2.949, 6.643, 0.000], [-0.426, -0.575, 7.621]],
  "species": ["K", "Ru", "Au", "I", "I", "I", "I", "I", "I"],
  "fractional_positions": [[0.000, 0.000, 0.000], [0.356, 0.646, 0.503], [0.697, 0.300, 0.503], [0.065, 0.644, 0.269], [0.072, 0.362, 0.669], [0.365, 0.933, 0.742], [0.399, 0.354, 0.288], [0.640, 0.931, 0.337], [0.650, 0.597, 0.716]],
  "e_form_raw_ev_per_fu": -2.60,
  "sg": "P1 (1)",
  "m_tot_mub_per_fu": 0.94
}

---

{
  "formula": "K2AuSI",
  "functional": "PBE",
  "state": "relaxed",
  "lattice_angstrom": [[6.262, 0.000, 0.000], [0.000, 6.262, 0.000], [0.000, 0.000, 4.611]],
  "species": ["K", "K", "Au", "S", "I"],
  "fractional_positions": [[0.000, 0.500, 0.000], [0.500, 0.000, 0.000], [0.000, 0.000, 0.500], [0.000, 0.000, 0.000], [0.500, 0.500, 0.500]],
  "e_form_raw_ev_per_fu": -4.57,
  "sg": "P4/mmm (123)",
  "m_tot_mub_per_fu": 0.00
}

---

{
  "formula": "K6Au2SI",
  "functional": "PBE",
  "state": "relaxed",
  "lattice_angstrom": [[8.313, 0.000, 0.000], [0.000, 8.838, 0.000], [-7.930, 0.000, 12.029]],
  "species": ["K", "K", "K", "K", "K", "K", "K", "K", "K", "K", "K", "K", "Au", "Au", "Au", "Au", "S", "S", "I", "I"],
  "fractional_positions": [[0.081, 0.071, 0.230], [0.081, 0.429, 0.730], [0.247, 0.712, 0.084], [0.247, 0.788, 0.584], [0.363, 0.170, 0.068], [0.363, 0.330, 0.568], [0.637, 0.670, 0.432], [0.637, 0.830, 0.932], [0.753, 0.212, 0.416], [0.753, 0.288, 0.916], [0.919, 0.571, 0.270], [0.919, 0.929, 0.770], [0.288, 0.080, 0.755], [0.288, 0.420, 0.255], [0.712, 0.580, 0.745], [0.712, 0.920, 0.245], [0.000, 0.000, 0.000], [0.000, 0.500, 0.500], [0.500, 0.000, 0.500], [0.500, 0.500, 0.000]],
  "e_form_raw_ev_per_fu": -6.72,
  "sg": "P2_1/c (14)",
  "m_tot_mub_per_fu": 0.00
}

---

{
  "formula": "K2SbAuI6",
  "functional": "PBE",
  "state": "relaxed",
  "lattice_angstrom": [[0.000, 5.977, 5.977], [5.977, 0.000, 5.977], [5.977, 5.977, 0.000]],
  "species": ["K", "K", "Sb", "Au", "I", "I", "I", "I", "I", "I"],
  "fractional_positions": [[0.250, 0.250, 0.250], [0.750, 0.750, 0.750], [0.000, 0.000, 0.000], [0.500, 0.500, 0.500], [0.253, 0.253, 0.747], [0.253, 0.747, 0.253], [0.253, 0.747, 0.747], [0.747, 0.253, 0.253], [0.747, 0.253, 0.747], [0.747, 0.747, 0.253]],
  "e_form_raw_ev_per_fu": -6.59,
  "sg": "Fm-3m (225)",
  "m_tot_mub_per_fu": 0.00
}